(1)
This record from the Alexandria database describes a geometry-optimized K2Al2SnO6 structure. The functional is GGA-PBE.

Unit cell a=5.7980 b=5.7980 c=17.8607 alpha=90.00 beta=90.00 gamma=120.00
Space group R-3m (No. 166, hexagonal axes)
Inequivalent atoms, fractional coordinates:
K1 0.0000 0.0000 0.2004 x6
Al1 0.0000 0.0000 0.3983 x6
Sn1 0.0000 0.0000 0.0000 x3
O1 0.0053 0.5026 0.7382 x18

- E_tot (eV/atom) = -6.01

(2)
This record from the Alexandria database describes a geometry-optimized CdP2Os structure. The functional is GGA-PBE.

Unit cell a=4.399 b=4.399 c=3.222 alpha=90.00 beta=90.00 gamma=90.00
Space group P4/mmm (No. 123)
Inequivalent atoms, fractional coordinates:
Cd1 0.000 0.000 0.000 x1
P1 0.000 0.500 0.500 x2
Os1 0.500 0.500 0.000 x1

- E_form (eV per atom) = 0.680
- E above lowest polymorph (meV/atom) = 681

(3)
This record from the Alexandria database describes a geometry-optimized Mg2AsCl structure. The functional is GGA-PBE.

Unit cell a=3.578 b=3.826 c=14.140 alpha=90.00 beta=90.00 gamma=90.00
Space group Imm2 (No. 44)
Inequivalent atoms, fractional coordinates:
Mg1 0.000 0.000 0.000 x2
Mg2 0.000 0.500 0.184 x2
As1 0.000 0.500 0.641 x2
Cl1 0.000 0.000 0.409 x2

- E above lowest polymorph (meV/atom) = 238

(4)
This record from the Alexandria database describes a geometry-optimized Nd6BiTe3 structure. The functional is GGA-PBE.

Unit cell a=12.628 b=4.302 c=12.976 alpha=90.00 beta=105.12 gamma=90.00
Space group P2_1/m (No. 11)
Inequivalent atoms, fractional coordinates:
Nd1 0.014 0.250 0.359 x2
Nd2 0.081 0.250 0.893 x2
Nd3 0.253 0.750 0.297 x2
Nd4 0.289 0.750 0.765 x2
Nd5 0.378 0.250 0.541 x2
Nd6 0.450 0.750 0.118 x2
Bi1 0.456 0.250 0.312 x2
Te1 0.108 0.250 0.147 x2
Te2 0.176 0.750 0.512 x2
Te3 0.335 0.250 0.951 x2

- E_tot (eV/atom) = -5.17

(5)
This record from the Alexandria database describes a geometry-optimized Ba3Mg2Zn3 structure. The functional is GGA-PBE.

Unit cell a=4.617 b=14.090 c=16.366 alpha=90.00 beta=90.00 gamma=90.00
Space group Cmcm (No. 63)
Inequivalent atoms, fractional coordinates:
Ba1 0.000 0.060 0.113 x8
Ba2 0.000 0.336 0.250 x4
Mg1 0.000 0.228 0.572 x8
Zn1 0.000 0.341 0.750 x4
Zn2 0.000 0.386 0.039 x8

- E_form (eV per atom) = -0.137

(6)
This record from the Alexandria database describes a geometry-optimized ZrTa2Cl structure. The functional is GGA-PBE.

Unit cell a=9.631 b=3.017 c=5.601 alpha=90.00 beta=111.82 gamma=90.00
Space group Cm (No. 8)
Inequivalent atoms, fractional coordinates:
Zr1 0.000 0.000 0.000 x2
Ta1 0.183 0.000 0.644 x2
Ta2 0.420 0.000 0.455 x2
Cl1 0.243 0.500 0.069 x2

- E above lowest polymorph (meV/atom) = 354

(7)
This record from the Alexandria database describes a geometry-optimized FeHPd4 structure. The functional is GGA-PBE.

Unit cell a=7.210 b=7.210 c=6.942 alpha=90.00 beta=90.00 gamma=90.00
Space group I4_1md (No. 109)
Inequivalent atoms, fractional coordinates:
Fe1 0.000 0.000 0.000 x4
H1 0.000 0.000 0.426 x4
Pd1 0.000 0.295 0.524 x8
Pd2 0.000 0.313 0.933 x8

- E above lowest polymorph (meV/atom) = 325

(8)
This record from the Alexandria database describes a geometry-optimized Tb4MgZn3 structure. The functional is GGA-PBE.

Unit cell a=3.661 b=5.116 c=10.236 alpha=90.00 beta=90.00 gamma=90.00
Space group Pmmm (No. 47)
Inequivalent atoms, fractional coordinates:
Tb1 0.000 0.000 0.000 x1
Tb2 0.000 0.000 0.500 x1
Tb3 0.000 0.500 0.239 x2
Mg1 0.500 0.500 0.500 x1
Zn1 0.500 0.000 0.257 x2
Zn2 0.500 0.500 0.000 x1

- E_form (eV per atom) = -0.263

(9)
This record from the Alexandria database describes a geometry-optimized LiVCd structure. The functional is GGA-PBE.

Unit cell a=3.644 b=3.644 c=8.745 alpha=90.00 beta=90.00 gamma=90.00
Space group P4/nmm (No. 129, origin choice 2)
Inequivalent atoms, fractional coordinates:
Li1 0.250 0.250 0.238 x2
V1 0.250 0.250 0.946 x2
Cd1 0.250 0.750 0.500 x2

- E_form (eV per atom) = 0.648
- E above lowest polymorph (meV/atom) = 516

(10)
This record from the Alexandria database describes a geometry-optimized Ru3PtF structure. The functional is GGA-PBE.

Unit cell a=4.872 b=4.872 c=4.872 alpha=90.00 beta=90.00 gamma=90.00
Space group Pm-3m (No. 221)
Inequivalent atoms, fractional coordinates:
Ru1 0.000 0.000 0.500 x3
Pt1 0.000 0.000 0.000 x1
F1 0.500 0.500 0.500 x1

- E_tot (eV/atom) = -5.38

(11)
This record from the Alexandria database describes a geometry-optimized K3InTe structure. The functional is GGA-PBE.

Unit cell a=6.642 b=6.642 c=6.642 alpha=90.00 beta=90.00 gamma=90.00
Space group Pm-3m (No. 221)
Inequivalent atoms, fractional coordinates:
K1 0.000 0.000 0.500 x3
In1 0.500 0.500 0.500 x1
Te1 0.000 0.000 0.000 x1

- E above lowest polymorph (meV/atom) = 0

(12)
This record from the Alexandria database describes a geometry-optimized ZrC structure. The functional is GGA-PBE.

Unit cell a=3.245 b=10.203 c=3.364 alpha=90.00 beta=90.00 gamma=90.00
Space group Cmcm (No. 63)
Inequivalent atoms, fractional coordinates:
Zr1 0.000 0.138 0.250 x4
C1 0.000 0.361 0.250 x4

- E_form (eV per atom) = -0.346
- E above lowest polymorph (meV/atom) = 461

(13)
This record from the Alexandria database describes a geometry-optimized Pr3Sm7Y structure. The functional is GGA-PBE.

Unit cell a=7.2187 b=7.2187 c=8.8281 alpha=90.00 beta=90.00 gamma=120.00
Space group P3m1 (No. 156)
Inequivalent atoms, fractional coordinates:
Pr1 0.0001 0.5000 0.0000 x3
Sm1 0.1672 0.3344 0.3355 x3
Sm2 0.3347 0.1674 0.6650 x3
Sm3 0.6667 0.3333 0.3406 x1
Y1 0.3333 0.6667 0.6598 x1

- E_form (eV per atom) = 0.167
- E above lowest polymorph (meV/atom) = 0

(14)
This record from the Alexandria database describes a geometry-optimized Pm5Ho2Tm6 structure. The functional is GGA-PBE.

Unit cell a=11.563 b=20.372 c=3.567 alpha=90.00 beta=90.00 gamma=90.00
Space group Pbam (No. 55)
Inequivalent atoms, fractional coordinates:
Pm1 0.000 0.000 0.000 x2
Pm2 0.084 0.272 0.000 x4
Pm3 0.198 0.550 0.000 x4
Ho1 0.171 0.710 0.500 x4
Tm1 0.062 0.418 0.500 x4
Tm2 0.081 0.131 0.500 x4
Tm3 0.175 0.862 0.000 x4

- E_form (eV per atom) = 0.097

(15)
This record from the Alexandria database describes a geometry-optimized LiSbTe2 structure. The functional is GGA-PBE.

Unit cell a=4.3006 b=4.3006 c=22.4657 alpha=90.00 beta=90.00 gamma=120.00
Space group R3m (No. 160, hexagonal axes)
Inequivalent atoms, fractional coordinates:
Li1 0.0000 0.0000 0.0000 x3
Sb1 0.0000 0.0000 0.1713 x3
Te1 0.0000 0.0000 0.5876 x3
Te2 0.0000 0.0000 0.7567 x3

- E_tot (eV/atom) = -3.48

(16)
This record from the Alexandria database describes a geometry-optimized Pm6Si2BrCl3 structure. The functional is GGA-PBE.

Unit cell a=18.098 b=4.279 c=8.214 alpha=90.00 beta=101.73 gamma=90.00
Space group C2/m (No. 12)
Inequivalent atoms, fractional coordinates:
Pm1 0.009 0.000 0.267 x4
Pm2 0.170 0.500 0.110 x4
Pm3 0.171 0.500 0.574 x4
Si1 0.167 0.000 0.335 x4
Br1 0.000 0.500 0.000 x2
Cl1 0.000 0.500 0.500 x2
Cl2 0.167 0.000 0.839 x4

- E_tot (eV/atom) = -5.06

(17)
This record from the Alexandria database describes a geometry-optimized GeH3Au structure. The functional is GGA-PBE.

Unit cell a=3.758 b=3.758 c=3.758 alpha=90.00 beta=90.00 gamma=90.00
Space group Pm-3m (No. 221)
Inequivalent atoms, fractional coordinates:
Ge1 0.000 0.000 0.000 x1
H1 0.000 0.000 0.500 x3
Au1 0.500 0.500 0.500 x1

- E above lowest polymorph (meV/atom) = 128

(18)
This record from the Alexandria database describes a geometry-optimized Ti2TlTcC structure. The functional is GGA-PBE.

Unit cell a=4.136 b=4.136 c=4.644 alpha=90.00 beta=90.00 gamma=90.00
Space group P4/mmm (No. 123)
Inequivalent atoms, fractional coordinates:
Ti1 0.000 0.500 0.000 x2
Tl1 0.000 0.000 0.500 x1
Tc1 0.500 0.500 0.500 x1
C1 0.000 0.000 0.000 x1

- E_form (eV per atom) = 0.353

(19)
This record from the Alexandria database describes a geometry-optimized Sm3Mg5Zn2 structure. The functional is GGA-PBE.

Unit cell a=10.860 b=15.141 c=6.119 alpha=90.00 beta=90.00 gamma=90.00
Space group Ibam (No. 72)
Inequivalent atoms, fractional coordinates:
Sm1 0.000 0.000 0.250 x4
Sm2 0.207 0.173 0.000 x8
Mg1 0.000 0.313 0.250 x8
Mg2 0.000 0.500 0.250 x4
Mg3 0.221 0.437 0.000 x8
Zn1 0.087 0.174 0.500 x8

- E_form (eV per atom) = -0.069

(20)
This record from the Alexandria database describes a geometry-optimized CaAcMgHg structure. The functional is GGA-PBE.

Unit cell a=4.009 b=4.009 c=7.841 alpha=90.00 beta=90.00 gamma=90.00
Space group P4mm (No. 99)
Inequivalent atoms, fractional coordinates:
Ca1 0.000 0.000 0.000 x1
Ac1 0.000 0.000 0.481 x1
Mg1 0.500 0.500 0.761 x1
Hg1 0.500 0.500 0.217 x1

- E_form (eV per atom) = -0.292
- E above lowest polymorph (meV/atom) = 3